Compound: Ni2MoPt
Source: Alexandria
Functional: PBE
Structure: relaxed

a = 4.518 Å, b = 4.518 Å, c = 4.711 Å
α = 80.34°, β = 80.34°, γ = 34.77°
Fractional positions:
Pt1 0.750 0.750 0.750
Ni1 0.999 0.999 0.016
Ni2 0.501 0.501 0.484
Mo1 0.250 0.250 0.250

ΔH_f (0 K): -0.35 eV per formula unit
space-group type: C2/m
final energy: -28.79 eV for the cell shown